No. 1
CrPW: optimized geometry, PBE.

a b c (Å): 2.9007 2.9007 9.2232
angles (deg): 90.00 90.00 90.00
Space group I4mm (No. 107)
Inequivalent atoms, fractional coordinates:
Cr 0.0000 0.0000 0.0000 x2
P 0.0000 0.0000 0.6238 x2
W 0.0000 0.0000 0.3046 x2

E   -56.1 eV/cell
Total moment   0.0 μB per formula unit

No. 2
YCrP3: optimized geometry, PBE.

a b c (Å): 5.2049 5.2049 5.2049
angles (deg): 90.00 90.00 90.00
Space group Pm-3m (No. 221)
Inequivalent atoms, fractional coordinates:
Y 0.0000 0.0000 0.0000 x1
Cr 0.5000 0.5000 0.5000 x1
P 0.0000 0.0000 0.5000 x3

Energy relative to the lowest polymorph listed for this composition   1.129 eV/atom
E   -27.7 eV/cell
Total moment   4.1 μB per formula unit

No. 3
YCr3P: optimized geometry, PBE.

a b c (Å): 4.3372 4.3372 4.3372
angles (deg): 90.00 90.00 90.00
Space group Pm-3m (No. 221)
Inequivalent atoms, fractional coordinates:
Y 0.0000 0.0000 0.0000 x1
Cr 0.0000 0.5000 0.5000 x3
P 0.5000 0.5000 0.5000 x1

Energy relative to the lowest polymorph listed for this composition   0.000 eV/atom
E   -39.3 eV/cell
Total moment   0.0 μB per formula unit

No. 4
YCr3P: optimized geometry, PBE.

a b c (Å): 4.8968 4.8968 4.8968
angles (deg): 90.00 90.00 90.00
Space group Pm-3m (No. 221)
Inequivalent atoms, fractional coordinates:
Y 0.0000 0.0000 0.0000 x1
Cr 0.0000 0.0000 0.5000 x3
P 0.5000 0.5000 0.5000 x1

Energy relative to the lowest polymorph listed for this composition   1.916 eV/atom
E   -29.7 eV/cell
Total moment   10.6 μB per formula unit